No. 1
Computed, not measured: HgBiCl3 after structural relaxation at the PBE-GGA level of DFT.

a b c (Å): 13.2450 16.8012 7.0947
angles (deg): 90.00 90.67 90.00
Last column: nearest neighbours and their distance in Å.
Space group C2/c (No. 15)
One atom of each set of equivalent atoms:
Hg 0.1066 0.0386 0.3934 (multiplicity 8)  4 Hg 3.46-3.78, 1 Cl 3.87
Bi 0.0000 0.2872 0.7500 (multiplicity 4)  2 Cl 2.47
Bi 0.0000 0.4309 0.2500 (multiplicity 4)  6 Cl 2.65-2.90
Cl 0.1112 0.3199 0.4169 (multiplicity 8)  2 Bi 2.65-2.85
Cl 0.1154 0.4432 0.9311 (multiplicity 8)  2 Bi 2.75-2.90
Cl 0.1223 0.1912 0.8837 (multiplicity 8)  1 Bi 2.47

Values from the calculation:
- Energy relative to the elements, uncorrected: -0.736 eV per atom
- V: 1578.7 Å³ per cell
- Energy above the most stable polymorph in this dataset: 25.9 meV per atom
- Magnetic moment: 0.00 μB/f.u.

No. 2
Computed, not measured: HgBiCl3 after structural relaxation at the PBE-GGA level of DFT.

a b c (Å): 8.1439 8.1439 7.8725
angles (deg): 90.00 90.00 120.00
Last column: nearest neighbours and their distance in Å.
Space group R3m (No. 160, hexagonal axes)
One atom of each set of equivalent atoms:
Hg 0.0000 0.0000 0.0000 (multiplicity 3)  1 Bi 3.08, 3 Cl 3.40
Bi 0.0000 0.0000 0.6088 (multiplicity 3)  6 Cl 2.73-2.90
Cl 0.0461 0.5230 0.0127 (multiplicity 9)  2 Bi 2.73-2.90

Values from the calculation:
- Energy relative to the elements, uncorrected: -0.674 eV per atom
- V: 452.2 Å³ per cell
- Energy above the most stable polymorph in this dataset: 87.6 meV per atom
- Magnetic moment: 0.00 μB/f.u.

No. 3
Computed, not measured: HgBiCl after structural relaxation at the PBE-GGA level of DFT.

a b c (Å): 13.7628 4.4180 7.4507
angles (deg): 90.00 113.18 90.00
Last column: nearest neighbours and their distance in Å.
Space group Cm (No. 8)
One atom of each set of equivalent atoms:
Hg 0.0000 0.0000 0.0000 (multiplicity 2)  1 Cl 2.49, 1 Bi 2.78
Hg 0.1758 0.5000 0.9317 (multiplicity 2)  1 Bi 3.13, 2 Cl 3.25, 2 Hg 3.46
Bi 0.3495 0.5000 0.6180 (multiplicity 2)  1 Hg 2.78, 2 Bi 3.10
Bi 0.4820 0.0000 0.5295 (multiplicity 2)  1 Cl 2.65
Cl 0.1223 0.0000 0.3512 (multiplicity 2)  1 Hg 2.49
Cl 0.3566 0.0000 0.1531 (multiplicity 2)  1 Bi 2.65

Values from the calculation:
- Energy relative to the elements, uncorrected: -0.358 eV per atom
- V: 416.4 Å³ per cell
- Energy above the most stable polymorph in this dataset: 0.0 meV per atom
- Magnetic moment: 0.00 μB/f.u.

No. 4
Computed, not measured: HgBi2Cl after structural relaxation at the PBE-GGA level of DFT.

a b c (Å): 7.5127 7.5127 7.5127
angles (deg): 90.00 90.00 90.00
Last column: nearest neighbours and their distance in Å.
Space group Fm-3m (No. 225)
One atom of each set of equivalent atoms:
Hg 0.0000 0.0000 0.0000 (multiplicity 4)  8 Bi 3.25
Bi 0.2500 0.2500 0.2500 (multiplicity 8)  4 Hg 3.25, 4 Cl 3.25
Cl 0.0000 0.0000 0.5000 (multiplicity 4)  8 Bi 3.25

Values from the calculation:
- Energy relative to the elements, uncorrected: -0.074 eV per atom
- V: 424.0 Å³ per cell
- Energy above the most stable polymorph in this dataset: 52.2 meV per atom
- Magnetic moment: 0.00 μB/f.u.

No. 5
Computed, not measured: Hg2Bi2Cl after structural relaxation at the PBE-GGA level of DFT.

a b c (Å): 4.2200 4.2200 16.2490
angles (deg): 90.00 90.00 90.00
Last column: nearest neighbours and their distance in Å.
Space group I4/mmm (No. 139)
One atom of each set of equivalent atoms:
Hg 0.0000 0.5000 0.2500 (multiplicity 4)  4 Hg 2.98, 4 Bi 3.12
Bi 0.0000 0.0000 0.1088 (multiplicity 4)  4 Hg 3.12, 4 Cl 3.47
Cl 0.0000 0.0000 0.5000 (multiplicity 2)  8 Bi 3.47

Values from the calculation:
- Energy relative to the elements, uncorrected: -0.002 eV per atom
- V: 289.4 Å³ per cell
- Energy above the most stable polymorph in this dataset: 58.2 meV per atom
- Magnetic moment: 0.00 μB/f.u.

No. 6
Computed, not measured: HgBiCl3 after structural relaxation at the PBE-GGA level of DFT.

a b c (Å): 7.5402 7.5402 21.4304
angles (deg): 90.00 90.00 120.00
Last column: nearest neighbours and their distance in Å.
Space group R-3m (No. 166, hexagonal axes)
One atom of each set of equivalent atoms:
Hg 0.0000 0.0000 0.0852 (multiplicity 6)  1 Hg 3.65, 6 Cl 3.77
Bi 0.0000 0.0000 0.3379 (multiplicity 6)  6 Cl 2.69-2.86
Cl 0.0042 0.5021 0.0804 (multiplicity 18)  2 Bi 2.69-2.86

Values from the calculation:
- Energy relative to the elements, uncorrected: -0.710 eV per atom
- V: 1055.2 Å³ per cell
- Energy above the most stable polymorph in this dataset: 50.9 meV per atom
- Magnetic moment: 0.00 μB/f.u.